No. 1
The following is a DFT calculation (GGA-PBE) of an optimized crystal structure of Nd2Sm3Th4.

Results
As for the formation energy: 0.07 eV per atom. The calculation puts the calculated density at 9.15 g/cm³.

Cell lengths 9.587, 9.587, 9.843 Å; angles 114.93, 114.93, 21.75 degrees
Fractional coordinates of all 9 atoms:
Nd1 0.164 0.164 0.002
Nd2 0.836 0.836 0.998
Sm1 0.353 0.353 0.334
Sm2 0.500 0.500 0.000
Sm3 0.647 0.647 0.666
Th1 0.025 0.025 0.338
Th2 0.317 0.317 0.660
Th3 0.683 0.683 0.340
Th4 0.975 0.975 0.662

***

No. 2
The following is a DFT calculation (GGA-PBE) of an optimized crystal structure of Nd6Sm3Th.

Results
As for the formation energy: 0.08 eV per atom. The calculation puts the calculated density at 7.39 g/cm³.

Cell lengths 13.430, 3.588, 14.683 Å; angles 90.00, 100.45, 90.00 degrees
Fractional coordinates of all 20 atoms:
Nd1 0.001 0.250 0.191
Nd2 0.156 0.750 0.381
Nd3 0.231 0.250 0.799
Nd4 0.281 0.250 0.211
Nd5 0.312 0.250 0.581
Nd6 0.379 0.750 0.014
Nd7 0.621 0.250 0.986
Nd8 0.688 0.750 0.419
Nd9 0.719 0.750 0.789
Nd10 0.769 0.750 0.201
Nd11 0.844 0.250 0.619
Nd12 0.999 0.750 0.809
Sm1 0.079 0.750 0.597
Sm2 0.125 0.250 0.002
Sm3 0.427 0.750 0.398
Sm4 0.573 0.250 0.602
Sm5 0.875 0.750 0.998
Sm6 0.921 0.250 0.403
Th1 0.462 0.750 0.778
Th2 0.538 0.250 0.222

***

No. 3
The following is a DFT calculation (GGA-PBE) of an optimized crystal structure of NdSmTh.

Results
The calculation puts the relative energy among the computed polymorphs at 140 meV/atom. As for the formation energy: 0.16 eV per atom. The calculation puts the calculated density at 8.70 g/cm³.

Cell lengths 6.294, 6.294, 6.294 Å; angles 140.39, 140.39, 57.26 degrees
Fractional coordinates of all 3 atoms:
Nd1 0.000 0.000 0.000
Sm1 0.660 0.660 0.000
Th1 0.328 0.328 0.000

***

No. 4
The following is a DFT calculation (GGA-PBE) of an optimized crystal structure of Nd3Sm2Th.

Results
The calculation puts the relative energy among the computed polymorphs at 191 meV/atom. As for the formation energy: 0.23 eV per atom. The calculation puts the calculated density at 7.62 g/cm³.

Cell lengths 8.205, 8.205, 6.602 Å; angles 90.00, 90.00, 108.85 degrees
Fractional coordinates of all 12 atoms:
Nd1 0.086 0.914 0.500
Nd2 0.136 0.497 0.725
Nd3 0.497 0.136 0.225
Nd4 0.503 0.864 0.725
Nd5 0.864 0.503 0.225
Nd6 0.914 0.086 0.000
Sm1 0.245 0.393 0.242
Sm2 0.393 0.245 0.742
Sm3 0.607 0.755 0.242
Sm4 0.755 0.607 0.742
Th1 0.171 0.829 0.017
Th2 0.829 0.171 0.517

***

No. 5
The following is a DFT calculation (GGA-PBE) of an optimized crystal structure of Nd4Sm7Th.

Results
The calculation puts the relative energy among the computed polymorphs at 246 meV/atom. As for the formation energy: 0.27 eV per atom. The calculation puts the calculated density at 7.27 g/cm³.

Cell lengths 6.831, 6.831, 12.914 Å; angles 114.69, 114.69, 52.96 degrees
Fractional coordinates of all 12 atoms:
Nd1 0.062 0.062 0.326
Nd2 0.362 0.362 0.223
Nd3 0.638 0.638 0.777
Nd4 0.938 0.938 0.674
Sm1 0.000 0.000 0.000
Sm2 0.210 0.210 0.923
Sm3 0.245 0.245 0.681
Sm4 0.368 0.368 0.498
Sm5 0.632 0.632 0.502
Sm6 0.755 0.755 0.319
Sm7 0.790 0.790 0.077
Th1 0.500 0.500 0.000

***

No. 6
The following is a DFT calculation (GGA-PBE) of an optimized crystal structure of Nd3Sm8Th2.

Results
As for the formation energy: 0.12 eV per atom. The calculation puts the calculated density at 7.81 g/cm³.

Cell lengths 6.645, 8.929, 16.343 Å; angles 92.45, 100.89, 109.27 degrees
Fractional coordinates of all 26 atoms:
Nd1 0.000 0.000 0.000
Nd2 0.000 0.500 0.500
Nd3 0.181 0.151 0.791
Nd4 0.292 0.637 0.280
Nd5 0.708 0.363 0.720
Nd6 0.819 0.849 0.209
Sm1 0.003 0.247 0.185
Sm2 0.032 0.404 0.913
Sm3 0.161 0.864 0.623
Sm4 0.253 0.225 0.573
Sm5 0.257 0.536 0.725
Sm6 0.400 0.046 0.198
Sm7 0.411 0.335 0.401
Sm8 0.416 0.800 0.002
Sm9 0.584 0.200 0.998
Sm10 0.589 0.665 0.599
Sm11 0.600 0.954 0.802
Sm12 0.743 0.464 0.275
Sm13 0.747 0.775 0.427
Sm14 0.839 0.136 0.377
Sm15 0.968 0.596 0.087
Sm16 0.997 0.753 0.815
Th1 0.285 0.928 0.421
Th2 0.416 0.464 0.098
Th3 0.584 0.536 0.902
Th4 0.715 0.072 0.579

***

No. 7
The following is a DFT calculation (GGA-PBE) of an optimized crystal structure of NdSmTh.

Results
The calculation puts the relative energy among the computed polymorphs at 153 meV/atom. As for the formation energy: 0.17 eV per atom. The calculation puts the calculated density at 8.54 g/cm³.

Cell lengths 9.001, 6.931, 6.728 Å; angles 90.00, 102.64, 90.00 degrees
Fractional coordinates of all 12 atoms:
Nd1 0.168 0.098 0.164
Nd2 0.168 0.402 0.664
Nd3 0.832 0.598 0.336
Nd4 0.832 0.902 0.836
Sm1 0.179 0.599 0.142
Sm2 0.179 0.901 0.642
Sm3 0.821 0.099 0.358
Sm4 0.821 0.401 0.858
Th1 0.497 0.227 0.575
Th2 0.497 0.273 0.075
Th3 0.503 0.727 0.925
Th4 0.503 0.773 0.425

***

No. 8
The following is a DFT calculation (GGA-PBE) of an optimized crystal structure of Nd5Sm8Th.

Results
As for the formation energy: 0.27 eV per atom. The calculation puts the calculated density at 7.29 g/cm³.

Cell lengths 8.612, 8.612, 8.612 Å; angles 110.54, 110.54, 107.35 degrees
Fractional coordinates of all 14 atoms:
Nd1 0.000 0.000 0.000
Nd2 0.208 0.310 0.680
Nd3 0.472 0.792 0.102
Nd4 0.629 0.528 0.320
Nd5 0.690 0.371 0.898
Sm1 0.163 0.432 0.093
Sm2 0.339 0.070 0.907
Sm3 0.418 0.158 0.397
Sm4 0.568 0.661 0.731
Sm5 0.762 0.021 0.603
Sm6 0.842 0.238 0.260
Sm7 0.930 0.837 0.269
Sm8 0.979 0.582 0.740
Th1 0.250 0.750 0.500

***

No. 9
The following is a DFT calculation (GGA-PBE) of an optimized crystal structure of NdSmTh.

Results
The calculation puts the relative energy among the computed polymorphs at 0 meV/atom. As for the formation energy: 0.02 eV per atom. The calculation puts the calculated density at 8.62 g/cm³.

Cell lengths 3.626, 3.626, 15.436 Å; angles 90.00, 90.00, 90.00 degrees
Fractional coordinates of all 6 atoms:
Nd1 0.250 0.250 0.085
Nd2 0.750 0.750 0.915
Sm1 0.250 0.250 0.741
Sm2 0.750 0.750 0.259
Th1 0.250 0.250 0.422
Th2 0.750 0.750 0.578

***

No. 10
The following is a DFT calculation (GGA-PBE) of an optimized crystal structure of Nd2Sm4Th5.

Results
As for the formation energy: 0.15 eV per atom. The calculation puts the calculated density at 9.26 g/cm³.

Cell lengths 8.917, 3.483, 11.864 Å; angles 90.00, 94.05, 90.00 degrees
Fractional coordinates of all 11 atoms:
Nd1 0.055 0.000 0.136
Nd2 0.945 0.000 0.864
Sm1 0.160 0.500 0.407
Sm2 0.307 0.500 0.945
Sm3 0.693 0.500 0.055
Sm4 0.840 0.500 0.593
Th1 0.210 0.000 0.678
Th2 0.422 0.000 0.217
Th3 0.500 0.000 0.500
Th4 0.578 0.000 0.783
Th5 0.790 0.000 0.322

***

No. 11
The following is a DFT calculation (GGA-PBE) of an optimized crystal structure of NdSm8Th2.

Results
The calculation puts the relative energy among the computed polymorphs at 2 meV/atom. As for the formation energy: 0.20 eV per atom. The calculation puts the calculated density at 7.99 g/cm³.

Cell lengths 6.047, 7.629, 9.405 Å; angles 111.35, 105.66, 97.28 degrees
Fractional coordinates of all 11 atoms:
Nd1 0.000 0.000 0.000
Sm1 0.207 0.207 0.415
Sm2 0.217 0.424 0.000
Sm3 0.343 0.663 0.763
Sm4 0.421 0.101 0.764
Sm5 0.579 0.899 0.236
Sm6 0.657 0.337 0.237
Sm7 0.783 0.576 0.000
Sm8 0.793 0.793 0.585
Th1 0.193 0.693 0.385
Th2 0.807 0.307 0.615

***

No. 12
The following is a DFT calculation (GGA-PBE) of an optimized crystal structure of Nd8Sm2Th.

Results
As for the formation energy: 0.03 eV per atom. The calculation puts the calculated density at 7.32 g/cm³.

Cell lengths 9.693, 9.693, 8.202 Å; angles 104.67, 104.67, 30.98 degrees
Fractional coordinates of all 11 atoms:
Nd1 0.045 0.045 0.234
Nd2 0.135 0.135 0.679
Nd3 0.320 0.320 0.591
Nd4 0.409 0.409 0.049
Nd5 0.591 0.591 0.951
Nd6 0.680 0.680 0.409
Nd7 0.865 0.865 0.321
Nd8 0.955 0.955 0.766
Sm1 0.228 0.228 0.136
Sm2 0.772 0.772 0.864
Th1 0.500 0.500 0.500

***

No. 13
The following is a DFT calculation (GGA-PBE) of an optimized crystal structure of Nd2SmTh4.

Results
As for the formation energy: 0.08 eV per atom. The calculation puts the calculated density at 9.60 g/cm³.

Cell lengths 18.391, 18.391, 3.593 Å; angles 90.00, 90.00, 168.78 degrees
Fractional coordinates of all 7 atoms:
Nd1 0.206 0.794 0.000
Nd2 0.794 0.206 0.000
Sm1 0.500 0.500 0.500
Th1 0.071 0.929 0.000
Th2 0.362 0.638 0.500
Th3 0.638 0.362 0.500
Th4 0.929 0.071 0.000

***

No. 14
The following is a DFT calculation (GGA-PBE) of an optimized crystal structure of Nd3Sm2Th.

Results
The calculation puts the relative energy among the computed polymorphs at 0 meV/atom. As for the formation energy: 0.04 eV per atom. The calculation puts the calculated density at 7.78 g/cm³.

Cell lengths 9.655, 9.655, 9.655 Å; angles 149.04, 115.19, 73.55 degrees
Fractional coordinates of all 12 atoms:
Nd1 0.000 0.000 0.000
Nd2 0.175 0.668 0.507
Nd3 0.339 0.332 0.007
Nd4 0.500 0.000 0.500
Nd5 0.661 0.668 0.993
Nd6 0.825 0.332 0.493
Sm1 0.083 0.833 0.250
Sm2 0.253 0.503 0.750
Sm3 0.747 0.497 0.250
Sm4 0.917 0.167 0.750
Th1 0.419 0.169 0.250
Th2 0.581 0.831 0.750

***

No. 15
The following is a DFT calculation (GGA-PBE) of an optimized crystal structure of Nd5Sm5Th2.

Results
As for the formation energy: 0.04 eV per atom. The calculation puts the calculated density at 7.83 g/cm³.

Cell lengths 6.306, 8.150, 8.931 Å; angles 111.34, 90.15, 104.88 degrees
Fractional coordinates of all 12 atoms:
Nd1 0.000 0.000 0.000
Nd2 0.082 0.744 0.581
Nd3 0.252 0.258 0.756
Nd4 0.748 0.742 0.244
Nd5 0.918 0.256 0.419
Sm1 0.331 0.994 0.332
Sm2 0.413 0.744 0.918
Sm3 0.500 0.500 0.500
Sm4 0.587 0.256 0.082
Sm5 0.669 0.006 0.668
Th1 0.162 0.500 0.163
Th2 0.838 0.500 0.837

***

No. 16
The following is a DFT calculation (GGA-PBE) of an optimized crystal structure of Nd6Sm4Th.

Results
As for the formation energy: 0.16 eV per atom. The calculation puts the calculated density at 7.39 g/cm³.

Cell lengths 8.880, 8.880, 9.679 Å; angles 90.00, 90.00, 90.00 degrees
Fractional coordinates of all 22 atoms:
Nd1 0.000 0.000 0.171
Nd2 0.000 0.000 0.829
Nd3 0.148 0.348 0.000
Nd4 0.152 0.352 0.500
Nd5 0.348 0.852 0.000
Nd6 0.352 0.848 0.500
Nd7 0.500 0.500 0.329
Nd8 0.500 0.500 0.671
Nd9 0.648 0.152 0.500
Nd10 0.652 0.148 0.000
Nd11 0.848 0.648 0.500
Nd12 0.852 0.652 0.000
Sm1 0.148 0.648 0.250
Sm2 0.148 0.648 0.750
Sm3 0.352 0.148 0.250
Sm4 0.352 0.148 0.750
Sm5 0.648 0.852 0.250
Sm6 0.648 0.852 0.750
Sm7 0.852 0.352 0.250
Sm8 0.852 0.352 0.750
Th1 0.000 0.000 0.500
Th2 0.500 0.500 0.000

***

No. 17
The following is a DFT calculation (GGA-PBE) of an optimized crystal structure of Nd12Sm2Th.

Results
As for the formation energy: 0.17 eV per atom. The calculation puts the calculated density at 7.06 g/cm³.

Cell lengths 6.882, 6.882, 25.229 Å; angles 90.00, 90.00, 116.96 degrees
Fractional coordinates of all 30 atoms:
Nd1 0.001 0.501 0.125
Nd2 0.002 0.998 0.926
Nd3 0.019 0.519 0.584
Nd4 0.024 0.976 0.440
Nd5 0.250 0.250 0.200
Nd6 0.250 0.250 0.326
Nd7 0.250 0.250 0.674
Nd8 0.250 0.250 0.800
Nd9 0.476 0.524 0.440
Nd10 0.481 0.981 0.584
Nd11 0.498 0.502 0.926
Nd12 0.499 0.999 0.125
Nd13 0.501 0.001 0.875
Nd14 0.502 0.498 0.074
Nd15 0.519 0.019 0.416
Nd16 0.524 0.476 0.560
Nd17 0.750 0.750 0.200
Nd18 0.750 0.750 0.326
Nd19 0.750 0.750 0.674
Nd20 0.750 0.750 0.800
Nd21 0.976 0.024 0.560
Nd22 0.981 0.481 0.416
Nd23 0.998 0.002 0.074
Nd24 0.999 0.499 0.875
Sm1 0.250 0.750 0.273
Sm2 0.250 0.750 0.733
Sm3 0.750 0.250 0.267
Sm4 0.750 0.250 0.727
Th1 0.250 0.750 0.001
Th2 0.750 0.250 0.999

***

No. 18
The following is a DFT calculation (GGA-PBE) of an optimized crystal structure of Nd5Sm2TmTh.

Results
As for the formation energy: 0.14 eV per atom. The calculation puts the calculated density at 7.49 g/cm³.

Cell lengths 11.290, 11.290, 10.581 Å; angles 90.00, 90.00, 152.09 degrees
Fractional coordinates of all 18 atoms:
Nd1 0.000 0.000 0.000
Nd2 0.000 0.000 0.500
Nd3 0.127 0.873 0.750
Nd4 0.222 0.778 0.057
Nd5 0.222 0.778 0.443
Nd6 0.499 0.501 0.250
Nd7 0.501 0.499 0.750
Nd8 0.778 0.222 0.557
Nd9 0.778 0.222 0.943
Nd10 0.873 0.127 0.250
Sm1 0.387 0.613 0.501
Sm2 0.387 0.613 0.999
Sm3 0.613 0.387 0.001
Sm4 0.613 0.387 0.499
Tm1 0.102 0.898 0.250
Tm2 0.898 0.102 0.750
Th1 0.289 0.711 0.750
Th2 0.711 0.289 0.250

***

No. 19
The following is a DFT calculation (GGA-PBE) of an optimized crystal structure of Nd3SmTm6Th2.

Results
As for the formation energy: 0.02 eV per atom. The calculation puts the calculated density at 8.96 g/cm³.

Cell lengths 6.191, 6.191, 11.684 Å; angles 95.09, 95.09, 119.98 degrees
Fractional coordinates of all 12 atoms:
Nd1 0.000 0.000 0.000
Nd2 0.334 0.666 0.000
Nd3 0.666 0.334 0.000
Sm1 0.500 0.500 0.500
Tm1 0.080 0.418 0.255
Tm2 0.244 0.244 0.746
Tm3 0.418 0.080 0.255
Tm4 0.582 0.920 0.745
Tm5 0.756 0.756 0.254
Tm6 0.920 0.582 0.745
Th1 0.167 0.833 0.500
Th2 0.833 0.167 0.500